#one
The following is a DFT calculation (PBE) of an optimized crystal structure of KLiSb.

The structure in POSCAR format:
```
KLiSb
1.0
-3.7154 -0.4565 3.4801
0.4277 -3.4365 3.7592
0.7936 1.5532 4.8043
K Li Sb
1 1 1
Direct
0.5000 0.5000 0.5000
0.7500 0.7500 0.7500
0.0000 0.0000 0.0000
```

=====

#two
The following is a DFT calculation (PBE) of an optimized crystal structure of KLiSb.

The structure in POSCAR format:
```
KLiSb
1.0
3.6720 0.0000 0.0000
-1.8360 3.1800 0.0000
0.0000 0.0000 8.3223
Li K Sb
1 1 1
Direct
0.6667 0.3333 0.3969
0.0000 0.0000 0.9723
0.3333 0.6667 0.6308
```

=====

#three
The following is a DFT calculation (PBE) of an optimized crystal structure of KLiSb.

The structure in POSCAR format:
```
KLiSb
1.0
-5.1325 -0.0130 0.8219
3.2752 -0.4675 4.0091
0.0534 3.7384 0.3923
K Li Sb
1 1 1
Direct
0.0000 0.0000 0.0000
0.6667 0.3333 0.5003
0.3333 0.6667 0.4997
```

=====

#four
The following is a DFT calculation (PBE) of an optimized crystal structure of KLiSb.

The structure in POSCAR format:
```
KLiSb
1.0
-5.3807 -0.7505 -0.2410
-2.5797 -2.5155 4.0732
-3.2885 2.8188 3.2883
Sb K Li
1 1 1
Direct
0.7500 0.7500 0.7500
0.0000 0.0000 0.0000
0.5000 0.5000 0.5000
```

=====

Q: Which of them is the least stable? A: #two.

=====

#one
The following is a DFT calculation (PBE) of an optimized crystal structure of KLiSb.

The structure in POSCAR format:
```
KLiSb
1.0
-1.9175 -5.8801 -2.1794
5.2467 2.2978 -0.9503
4.0303 -5.0427 10.0593
Sb Li K
4 4 4
Direct
0.9067 0.3134 0.2500
0.4067 0.3134 0.2500
0.5933 0.6866 0.7500
0.0933 0.6866 0.7500
0.4143 0.8286 0.2855
0.0857 0.1714 0.7855
0.9143 0.8286 0.2145
0.5857 0.1714 0.7145
0.3230 0.6461 0.0226
0.6770 0.3539 0.9774
0.8230 0.6461 0.4774
0.1770 0.3539 0.5226
```

=====

#two
The following is a DFT calculation (PBE) of an optimized crystal structure of KLiSb.

The structure in POSCAR format:
```
KLiSb
1.0
-3.2800 4.1218 -1.4610
-5.3983 -0.7909 -0.3384
-3.3326 2.2792 3.6852
K Sb Li
1 1 1
Direct
0.7500 0.7500 0.7500
0.5000 0.5000 0.5000
0.0000 0.0000 0.0000
```

=====

Q: Which of them is the least stable? A: #two.

=====

#one
The following is a DFT calculation (PBE) of an optimized crystal structure of KLiSb.

The structure in POSCAR format:
```
KLiSb
1.0
4.8178 0.0000 -1.2596
-0.3293 4.8066 -1.2596
-0.3363 -0.3601 8.5577
Li K Sb
2 2 2
Direct
0.5000 0.0000 0.0000
0.0000 0.5000 0.0000
0.6725 0.6725 0.3450
0.3275 0.3275 0.6550
0.9042 0.9042 0.8085
0.0958 0.0958 0.1915
```

=====

#two
The following is a DFT calculation (PBE) of an optimized crystal structure of KLiSb.

The structure in POSCAR format:
```
KLiSb
1.0
5.7280 0.3154 0.3294
3.1364 4.8034 0.3294
3.7184 2.1472 7.7652
Li Sb K
2 2 2
Direct
0.8395 0.8395 0.9085
0.1605 0.1605 0.0915
0.5111 0.5111 0.1586
0.4889 0.4889 0.8414
0.2612 0.2612 0.6580
0.7388 0.7388 0.3420
```

=====

#three
The following is a DFT calculation (PBE) of an optimized crystal structure of KLiSb.

The structure in POSCAR format:
```
KLiSb
1.0
6.6472 0.0136 -0.0147
5.4646 3.7830 0.0239
1.1826 0.3294 3.7552
Li K Sb
1 1 1
Direct
0.2752 0.2752 0.7248
0.0109 0.0109 0.9891
0.7139 0.7139 0.2861
```

=====

Q: Which of them is the least stable? A: #three.